No. 1
Compound: PrAl4ZnPd2
Source: Alexandria
Functional: PBE-GGA
Structure: relaxed

Summary:
Final energy (eV/atom): -4.48
Formation enthalpy at 0 K (eV per atom): -0.557
D(E_F) (states/eV per atom): 0.439

a = 4.3127 Å, b = 4.3127 Å, c = 27.0258 Å
α = 90.00°, β = 90.00°, γ = 120.00°
Space group R-3m (No. 166, hexagonal axes)
Unique sites:
Pr1 0.0000 0.0000 0.0000
Al1 0.0000 0.0000 0.1272
Al2 0.0000 0.0000 0.4037
Zn1 0.0000 0.0000 0.5000
Pd1 0.0000 0.0000 0.2330

---

No. 2
Compound: PrAlZnPd3
Source: Alexandria
Functional: PBE-GGA
Structure: relaxed

Summary:
Final energy (eV/atom): -4.79
Formation enthalpy at 0 K (eV per atom): -0.565
D(E_F) (states/eV per atom): 0.620

a = 6.5587 Å, b = 12.5743 Å, c = 5.6916 Å
α = 90.00°, β = 90.00°, γ = 90.00°
Space group Cmcm (No. 63)
Unique sites:
Pr1 0.0000 0.2061 0.2500
Al1 0.0000 0.4567 0.2500
Zn1 0.0000 0.1378 0.7500
Pd1 0.0000 0.3408 0.7500
Pd2 0.2074 0.0000 0.0000

---

No. 3
Compound: PrAl2ZnPd4
Source: Alexandria
Functional: PBE-GGA
Structure: relaxed

Summary:
Final energy (eV/atom): -5.06
Formation enthalpy at 0 K (eV per atom): -0.771
D(E_F) (states/eV per atom): 0.462

a = 4.2948 Å, b = 4.2948 Å, c = 26.6004 Å
α = 90.00°, β = 90.00°, γ = 120.00°
Space group R-3m (No. 166, hexagonal axes)
Unique sites:
Pr1 0.0000 0.0000 0.0000
Al1 0.0000 0.0000 0.2360
Zn1 0.0000 0.0000 0.5000
Pd1 0.0000 0.0000 0.1329
Pd2 0.0000 0.0000 0.4041

---

No. 4
Compound: Pr2ZrAl4Pd3
Source: Alexandria
Functional: PBE-GGA
Structure: relaxed

Summary:
Final energy (eV/atom): -5.54
Formation enthalpy at 0 K (eV per atom): -0.678
D(E_F) (states/eV per atom): 0.782

a = 4.3016 Å, b = 4.3016 Å, c = 11.2080 Å
α = 90.00°, β = 90.00°, γ = 90.00°
Space group P-4m2 (No. 115)
Unique sites:
Pr1 0.0000 0.5000 0.2419
Zr1 0.0000 0.0000 0.5000
Al1 0.0000 0.0000 0.0000
Al2 0.0000 0.5000 0.6565
Al3 0.5000 0.5000 0.0000
Pd1 0.0000 0.5000 0.8790
Pd2 0.5000 0.5000 0.5000

---

No. 5
Compound: AlPd5Pt4
Source: Alexandria
Functional: PBE-GGA
Structure: relaxed

Summary:
Final energy (eV/atom): -5.52
Formation enthalpy at 0 K (eV per atom): -0.134
D(E_F) (states/eV per atom): 1.349

a = 13.7380 Å, b = 4.0305 Å, c = 6.7544 Å
α = 90.00°, β = 118.48°, γ = 90.00°
Space group C2/m (No. 12)
Unique sites:
Al1 0.0000 0.0000 0.0000
Pd1 0.0000 0.0000 0.5000
Pd2 0.1542 0.5000 0.6881
Pd3 0.1931 0.5000 0.1180
Pt1 0.0178 0.5000 0.2318
Pt2 0.1754 0.0000 0.4031

---

No. 6
Compound: Al2Pd8Pt3
Source: Alexandria
Functional: PBE-GGA
Structure: relaxed

Summary:
Final energy (eV/atom): -5.40
Formation enthalpy at 0 K (eV per atom): -0.234
Energy above the most stable polymorph in this dataset (kcal/mol of atoms): 0.06
D(E_F) (states/eV per atom): 0.910

a = 11.4740 Å, b = 7.3434 Å, c = 5.0410 Å
α = 90.00°, β = 93.90°, γ = 90.00°
Space group C2/m (No. 12)
Unique sites:
Al1 0.1999 0.0000 0.2925
Pd1 0.1034 0.5000 0.9051
Pd2 0.1275 0.3115 0.4426
Pd3 0.1961 0.0000 0.8053
Pt1 0.0000 0.0000 0.5000
Pt2 0.0000 0.1794 0.0000

---

No. 7
Compound: AlPdPt14
Source: Alexandria
Functional: PBE-GGA
Structure: relaxed

Summary:
Final energy (eV/atom): -6.00
Formation enthalpy at 0 K (eV per atom): -0.157
D(E_F) (states/eV per atom): 1.717

a = 9.2746 Å, b = 5.5590 Å, c = 9.6510 Å
α = 90.00°, β = 90.00°, γ = 90.00°
Space group Amm2 (No. 38)
Unique sites:
Al1 0.0000 0.0000 0.0000
Pd1 0.0000 0.0000 0.5042
Pt1 0.0000 0.2477 0.7532
Pt2 0.2420 0.0000 0.1644
Pt3 0.2447 0.2483 0.9171
Pt4 0.2503 0.0000 0.6665
Pt5 0.5000 0.0000 0.3306
Pt6 0.5000 0.0000 0.8317
Pt7 0.5000 0.2492 0.0809

---

No. 8
Compound: AlPd8Pt5
Source: Alexandria
Functional: PBE-GGA
Structure: relaxed

Summary:
Final energy (eV/atom): -5.41
Formation enthalpy at 0 K (eV per atom): -0.018
D(E_F) (states/eV per atom): 1.188

a = 7.6721 Å, b = 7.6721 Å, c = 7.7129 Å
α = 90.00°, β = 90.00°, γ = 90.00°
Space group I-4 (No. 82)
Unique sites:
Al1 0.0000 0.0000 0.0000
Pd1 0.0584 0.6690 0.0823
Pd2 0.1069 0.8188 0.7606
Pt1 0.0000 0.5000 0.7500
Pt2 0.1100 0.8024 0.4153

---

No. 9
Compound: Al2Pd8Pt
Source: Alexandria
Functional: PBE-GGA
Structure: relaxed

Summary:
Final energy (eV/atom): -5.48
Formation enthalpy at 0 K (eV per atom): -0.470
D(E_F) (states/eV per atom): 0.853

a = 13.8229 Å, b = 4.0267 Å, c = 6.3268 Å
α = 90.00°, β = 109.50°, γ = 90.00°
Space group C2/m (No. 12)
Unique sites:
Al1 0.2181 0.0000 0.1579
Pd1 0.0429 0.0000 0.2313
Pd2 0.1053 0.5000 0.9652
Pd3 0.1528 0.0000 0.7158
Pd4 0.1788 0.5000 0.4241
Pt1 0.0000 0.5000 0.5000

---

No. 10
Compound: AlPd4Pt2
Source: Alexandria
Functional: PBE-GGA
Structure: relaxed

Summary:
Final energy (eV/atom): -5.45
Formation enthalpy at 0 K (eV per atom): -0.225
Energy above the most stable polymorph in this dataset (kcal/mol of atoms): 0.79
D(E_F) (states/eV per atom): 1.126

a = 4.3357 Å, b = 8.5936 Å, c = 12.0378 Å
α = 90.00°, β = 90.00°, γ = 90.00°
Space group Cmce (No. 64)
Unique sites:
Al1 0.0000 0.0000 0.0000
Pd1 0.0000 0.1070 0.1877
Pd2 0.0000 0.2335 0.4185
Pt1 0.0000 0.0820 0.6238